A plane-wave DFT calculation with GGA-PBE was carried out for KU2SO4 after structural relaxation.

POSCAR file:
```
KU2SO4
1.0
3.799 0.000 0.000
0.000 3.799 0.000
0.000 0.000 9.582
K U S O
1 2 1 4
direct
0.000 0.000 0.000 K
0.500 0.500 0.306 U
0.500 0.500 0.694 U
0.000 0.000 0.500 S
0.000 0.500 0.209 O
0.000 0.500 0.791 O
0.500 0.000 0.209 O
0.500 0.000 0.791 O
```

Spin magnetization: 3.0 μB/f.u.
SG: P4/mmm
Crystal system: tetragonal
Formation energy from raw total energies: -19.93 eV/f.u.